(1)
A geometry-optimized Cd2SbPd4 structure, computed with PBE-GGA.

Unit cell a=5.1959 b=5.4959 c=9.2184 alpha=90.00 beta=104.37 gamma=90.00
Positions (direct):
Cd 0.1009 0.2500 0.0041
Cd 0.3749 0.7500 0.5662
Cd 0.6251 0.2500 0.4338
Cd 0.8991 0.7500 0.9959
Sb 0.4893 0.2500 0.8183
Sb 0.5107 0.7500 0.1817
Pd 0.1392 0.0014 0.2767
Pd 0.1392 0.4986 0.2767
Pd 0.1677 0.2500 0.5519
Pd 0.3554 0.7500 0.8714
Pd 0.6446 0.2500 0.1286
Pd 0.8323 0.7500 0.4481
Pd 0.8608 0.5014 0.7233
Pd 0.8608 0.9986 0.7233

Output
V in Å³/atom: 18.21
Space-group type: P2_1/m
Raw formation energy in eV/atom: -0.276
DOS at the Fermi energy in states/eV per atom: 0.4545
Magnetization in μB per atom: 0.000

=====

(2)
A geometry-optimized LaSbAu2 structure, computed with PBE-GGA.

Unit cell a=3.5034 b=4.7818 c=5.9959 alpha=90.00 beta=90.00 gamma=90.00
Positions (direct):
La 0.0000 0.0000 0.0000
Sb 0.5000 0.0000 0.5000
Au 0.5000 0.5000 0.2343
Au 0.5000 0.5000 0.7657

Output
V in Å³/atom: 25.11
Space-group type: Pmmm
Raw formation energy in eV/atom: -0.627
DOS at the Fermi energy in states/eV per atom: 0.5685
Magnetization in μB per atom: 0.000

=====

(3)
A geometry-optimized Mn5BeCr2Os2 structure, computed with PBE-GGA.

Unit cell a=9.0521 b=9.0521 c=2.8219 alpha=90.00 beta=90.00 gamma=90.00
Positions (direct):
Mn 0.0000 0.5000 0.0000
Mn 0.0602 0.1830 0.0000
Mn 0.1830 0.9398 0.0000
Mn 0.3170 0.4398 0.0000
Mn 0.4398 0.6830 0.0000
Mn 0.5000 0.0000 0.0000
Mn 0.5602 0.3170 0.0000
Mn 0.6830 0.5602 0.0000
Mn 0.8170 0.0602 0.0000
Mn 0.9398 0.8170 0.0000
Be 0.0000 0.0000 0.5000
Be 0.5000 0.5000 0.5000
Cr 0.1344 0.3656 0.5000
Cr 0.3656 0.8656 0.5000
Cr 0.6344 0.1344 0.5000
Cr 0.8656 0.6344 0.5000
Os 0.1733 0.6733 0.5000
Os 0.3267 0.1733 0.5000
Os 0.6733 0.8267 0.5000
Os 0.8267 0.3267 0.5000

Output
V in Å³/atom: 11.56
Space-group type: P4/mbm
Formation energy in eV/atom: 0.272
DOS at the Fermi energy in states/eV per atom: 0.9108
Magnetization in μB per atom: 0.043

=====

(4)
A geometry-optimized KReIr2Cl structure, computed with PBE-GGA.

Unit cell a=4.7551 b=4.7551 c=5.3875 alpha=90.00 beta=90.00 gamma=90.00
Positions (direct):
K 0.0000 0.0000 0.0000
Re 0.5000 0.5000 0.5000
Ir 0.0000 0.5000 0.5000
Ir 0.5000 0.0000 0.5000
Cl 0.5000 0.5000 0.0000

Output
V in Å³/atom: 24.36
Space-group type: P4/mmm
Raw formation energy in eV/atom: 0.846
DOS at the Fermi energy in states/eV per atom: 0.9388
Magnetization in μB per atom: 0.000

=====

(5)
A geometry-optimized PmPrRhI structure, computed with PBE-GGA.

Unit cell a=4.1709 b=4.1709 c=24.5958 alpha=90.00 beta=90.00 gamma=120.00
Positions (direct):
Pm 0.0000 0.0000 0.0000
Pm 0.3333 0.6667 0.6667
Pm 0.6667 0.3333 0.3333
Pr 0.0000 0.0000 0.2099
Pr 0.3333 0.6667 0.8766
Pr 0.6667 0.3333 0.5433
Rh 0.0000 0.0000 0.6064
Rh 0.3333 0.6667 0.2730
Rh 0.6667 0.3333 0.9397
I 0.0000 0.0000 0.4361
I 0.3333 0.6667 0.1028
I 0.6667 0.3333 0.7694

Output
V in Å³/atom: 30.88
Space-group type: R3m
Raw formation energy in eV/atom: -0.933
DOS at the Fermi energy in states/eV per atom: 0.1495
Magnetization in μB per atom: 0.000

=====

(6)
A geometry-optimized HoCdInS4 structure, computed with PBE-GGA.

Unit cell a=7.8945 b=7.8945 c=7.8945 alpha=120.29 beta=120.11 gamma=89.66
Positions (direct):
Ho 0.0000 0.0000 0.0000
Ho 0.5000 0.0000 0.5000
Cd 0.3736 0.6236 0.7500
Cd 0.6264 0.3764 0.2500
In 0.0000 0.0000 0.5000
In 0.0000 0.5000 0.0000
S 0.2232 0.2450 0.9782
S 0.2333 0.7550 0.4782
S 0.2399 0.2263 0.4864
S 0.2399 0.7535 0.0136
S 0.7601 0.2465 0.9864
S 0.7601 0.7737 0.5136
S 0.7667 0.2450 0.5218
S 0.7768 0.7550 0.0218

Output
V in Å³/atom: 24.78
Space-group type: Imma
Raw formation energy in eV/atom: -1.108
Magnetization in μB per atom: 0.000

=====

(7)
A geometry-optimized Co2TeCl structure, computed with PBE-GGA.

Unit cell a=7.0450 b=3.7409 c=7.0471 alpha=90.00 beta=95.96 gamma=90.00
Positions (direct):
Co 0.0000 0.0000 0.0000
Co 0.1742 0.5000 0.8978
Co 0.5000 0.5000 0.0000
Co 0.6742 0.0000 0.8978
Te 0.3281 0.0000 0.7300
Te 0.8281 0.5000 0.7300
Cl 0.0843 0.5000 0.2105
Cl 0.5843 0.0000 0.2105

Output
V in Å³/atom: 23.09
Space-group type: Cm
Raw formation energy in eV/atom: -0.069
DOS at the Fermi energy in states/eV per atom: 1.0517
Magnetization in μB per atom: 0.901

=====

(8)
A geometry-optimized Ho2AuI2 structure, computed with PBE-GGA.

Unit cell a=4.0825 b=4.0825 c=35.7272 alpha=90.00 beta=90.00 gamma=120.00
Positions (direct):
Ho 0.0000 0.0000 0.1180
Ho 0.0000 0.0000 0.8820
Ho 0.3333 0.6667 0.5486
Ho 0.3333 0.6667 0.7847
Ho 0.6667 0.3333 0.2153
Ho 0.6667 0.3333 0.4514
Au 0.0000 0.0000 0.5000
Au 0.3333 0.6667 0.1667
Au 0.6667 0.3333 0.8333
I 0.0000 0.0000 0.2739
I 0.0000 0.0000 0.7261
I 0.3333 0.6667 0.3928
I 0.3333 0.6667 0.9406
I 0.6667 0.3333 0.0594
I 0.6667 0.3333 0.6072

Output
V in Å³/atom: 34.38
Space-group type: R-3m
Raw formation energy in eV/atom: -1.076
DOS at the Fermi energy in states/eV per atom: 0.7810
Magnetization in μB per atom: 0.000

=====

What did the sixth record say?
A geometry-optimized HoCdInS4 structure, computed with PBE-GGA.

Unit cell a=7.8945 b=7.8945 c=7.8945 alpha=120.29 beta=120.11 gamma=89.66
Positions (direct):
Ho 0.0000 0.0000 0.0000
Ho 0.5000 0.0000 0.5000
Cd 0.3736 0.6236 0.7500
Cd 0.6264 0.3764 0.2500
In 0.0000 0.0000 0.5000
In 0.0000 0.5000 0.0000
S 0.2232 0.2450 0.9782
S 0.2333 0.7550 0.4782
S 0.2399 0.2263 0.4864
S 0.2399 0.7535 0.0136
S 0.7601 0.2465 0.9864
S 0.7601 0.7737 0.5136
S 0.7667 0.2450 0.5218
S 0.7768 0.7550 0.0218

Output
V in Å³/atom: 24.78
Space-group type: Imma
Raw formation energy in eV/atom: -1.108
Magnetization in μB per atom: 0.000